Cs8AuCl2 | Alexandria via LeMat-Bulk | PBE | relaxed; total moment = 0.00 μB/cell; formation energy without anion corrections = -0.711 eV per atom
1.0
7.094 -0.252 0.467
0.420 11.122 3.087
-0.530 0.047 11.538
Cs Au Cl
8 1 2
Cartesian
1.950 10.005 6.274 Cs
5.616 7.687 3.648 Cs
5.206 6.648 9.298 Cs
1.369 3.230 11.443 Cs
5.443 1.864 3.054 Cs
5.034 0.912 8.818 Cs
1.778 4.268 5.794 Cs
1.542 9.053 12.037 Cs
0.000 0.000 0.000 Au
5.025 8.674 11.933 Cl
1.959 2.242 3.159 Cl